{"formula": "U2ReIr", "functional": "PBE", "state": "relaxed", "lattice_angstrom": [[-0.8572, -1.6058, -2.1586], [-0.7433, -2.6871, 0.4473], [-10.3190, 1.5532, 1.0953]], "species": ["Re", "Ir", "U", "U"], "fractional_positions": [[0.0000, 0.0000, 0.0000], [0.5000, 0.5000, 0.5000], [0.7516, 0.7516, 0.7453], [0.2484, 0.2484, 0.2547]], "dft_energy_ev_per_cell": -43.30, "dos_ef_per_ev_fu": 8.02, "m_tot_mub_per_cell": 0.0}


{"formula": "UReIr", "functional": "PBE", "state": "relaxed", "lattice_angstrom": [[-4.8543, -1.1100, -1.8721], [-3.6865, -3.5828, -1.3688], [-10.9958, -4.4366, 3.7144]], "species": ["U", "U", "Re", "Re", "Ir", "Ir"], "fractional_positions": [[0.5481, 0.5481, 0.1030], [0.2051, 0.2051, 0.2043], [0.5813, 0.5813, 0.5075], [0.1718, 0.1718, 0.7999], [0.3119, 0.3119, 0.4981], [0.4413, 0.4413, 0.8092]], "dft_energy_ev_per_cell": -64.66, "dos_ef_per_ev_fu": 4.88, "m_tot_mub_per_cell": 0.0}


{"formula": "U2ReIr", "functional": "PBE", "state": "relaxed", "lattice_angstrom": [[3.3139, 0.0000, 0.0000], [0.0000, 3.3139, 0.0000], [0.0000, 0.0000, 7.1472]], "species": ["Re", "Ir", "U", "U"], "fractional_positions": [[0.5000, 0.5000, 0.0000], [0.5000, 0.5000, 0.5000], [0.0000, 0.0000, 0.7507], [0.0000, 0.0000, 0.2493]], "dft_energy_ev_per_cell": -44.17, "dos_ef_per_ev_fu": 5.82, "m_tot_mub_per_cell": 3.4}


{"formula": "U2ReIr", "functional": "PBE", "state": "relaxed", "lattice_angstrom": [[-2.8390, 0.5418, -3.0205], [-0.7308, -2.7195, 3.0922], [-2.4702, 4.1490, 3.0660]], "species": ["U", "U", "Re", "Ir"], "fractional_positions": [[0.6668, 0.3336, 0.7558], [0.3332, 0.6664, 0.2442], [0.0000, 0.0000, 0.0000], [0.0000, 0.0000, 0.5000]], "dft_energy_ev_per_cell": -44.05, "dos_ef_per_ev_fu": 10.41, "m_tot_mub_per_cell": 2.3}


{"formula": "V6ReIr5", "functional": "PBE", "state": "relaxed", "lattice_angstrom": [[4.5726, 0.0020, -0.3311], [-0.0025, 5.5403, -0.0006], [0.0073, 0.0008, 6.6374]], "species": ["Re", "Ir", "Ir", "Ir", "Ir", "Ir", "V", "V", "V", "V", "V", "V"], "fractional_positions": [[0.0000, 0.0000, 0.0000], [0.6615, 0.5000, 0.3322], [0.3453, 0.0000, 0.6698], [0.0000, 0.5000, 0.0000], [0.6547, 0.0000, 0.3302], [0.3385, 0.5000, 0.6678], [0.8423, 0.7512, 0.6627], [0.8423, 0.2488, 0.6627], [0.5000, 0.2527, 0.0000], [0.5000, 0.7473, 0.0000], [0.1577, 0.7512, 0.3373], [0.1577, 0.2488, 0.3373]], "dft_energy_ev_per_cell": -116.25, "dos_ef_per_ev_fu": 15.66, "m_tot_mub_per_cell": 0.0}


{"formula": "VReIr3", "functional": "PBE", "state": "relaxed", "lattice_angstrom": [[-1.4645, -2.6434, 2.3596], [4.0015, -3.5006, -1.4380], [1.6964, 6.2545, 4.9447]], "species": ["V", "V", "Re", "Re", "Ir", "Ir", "Ir", "Ir", "Ir", "Ir"], "fractional_positions": [[0.4234, 0.6458, 0.8799], [0.6205, 0.9327, 0.2742], [0.2243, 0.3501, 0.4818], [0.8196, 0.2284, 0.6723], [0.0194, 0.5422, 0.0719], [0.4208, 0.1438, 0.8747], [0.6232, 0.4346, 0.2794], [0.0246, 0.0362, 0.0822], [0.2209, 0.8457, 0.4749], [0.8231, 0.7327, 0.6792]], "dft_energy_ev_per_cell": -98.78, "e_above_lowest_polymorph_ev_per_atom": 0.000, "dos_ef_per_ev_fu": 5.10, "m_tot_mub_per_cell": 0.0}


{"formula": "V3ReIr6", "functional": "PBE", "state": "relaxed", "lattice_angstrom": [[-2.8929, 1.0120, 3.1101], [3.8931, -3.7542, 4.8429], [2.4492, 9.5088, -0.8160]], "species": ["V", "V", "V", "V", "V", "V", "Re", "Re", "Ir", "Ir", "Ir", "Ir", "Ir", "Ir", "Ir", "Ir", "Ir", "Ir", "Ir", "Ir"], "fractional_positions": [[0.2500, 0.5616, 0.3656], [0.7500, 0.4384, 0.6344], [0.2500, 0.3542, 0.7663], [0.7500, 0.6458, 0.2337], [0.2500, 0.7687, 0.9662], [0.7500, 0.2313, 0.0338], [0.2500, 0.9694, 0.5669], [0.7500, 0.0306, 0.4331], [0.2500, 0.4623, 0.0713], [0.7500, 0.5377, 0.9287], [0.2500, 0.1674, 0.1685], [0.7500, 0.8326, 0.8315], [0.2500, 0.6635, 0.6708], [0.7500, 0.3365, 0.3292], [0.2500, 0.2676, 0.4716], [0.7500, 0.7324, 0.5284], [0.2500, 0.8611, 0.2669], [0.7500, 0.1389, 0.7331], [0.2500, 0.0664, 0.8693], [0.7500, 0.9336, 0.1307]], "dft_energy_ev_per_cell": -195.03, "dos_ef_per_ev_fu": 7.04, "m_tot_mub_per_cell": 0.8}


{"formula": "VReIr4", "functional": "PBE", "state": "relaxed", "lattice_angstrom": [[5.8692, 0.1112, 0.0000], [-0.1082, 5.8342, 0.0000], [0.0000, 0.0000, 5.8353]], "species": ["V", "V", "Re", "Re", "Ir", "Ir", "Ir", "Ir", "Ir", "Ir", "Ir", "Ir"], "fractional_positions": [[0.0000, 0.2500, 0.7498], [0.0000, 0.7500, 0.2502], [0.5000, 0.2500, 0.2498], [0.5000, 0.7500, 0.7502], [0.2434, 0.5002, 0.0000], [0.2436, 0.5002, 0.4999], [0.7566, 0.9998, 0.0000], [0.7564, 0.4998, 0.5001], [0.7564, 0.9998, 0.4999], [0.2434, 0.0002, 0.0000], [0.2436, 0.0002, 0.5001], [0.7566, 0.4998, 0.0000]], "dft_energy_ev_per_cell": -113.56, "dos_ef_per_ev_fu": 2.32, "m_tot_mub_per_cell": 0.0}


{"formula": "VReIr", "functional": "PBE", "state": "relaxed", "lattice_angstrom": [[-0.3171, -2.4580, -1.0564], [1.7291, -1.0001, 1.8079], [-5.2293, 0.6982, 3.3803]], "species": ["Re", "Ir", "V"], "fractional_positions": [[0.9959, 0.9959, 0.9918], [0.3330, 0.3330, 0.6660], [0.6711, 0.6711, 0.3422]], "dft_energy_ev_per_cell": -31.09, "dos_ef_per_ev_fu": 2.31, "m_tot_mub_per_cell": 0.0}


{"formula": "VReIr3", "functional": "PBE", "state": "relaxed", "lattice_angstrom": [[-4.1464, -1.6715, -0.0004], [1.6168, -4.0109, 1.1333], [-0.4241, 1.0510, 4.3245]], "species": ["Re", "Ir", "Ir", "Ir", "V"], "fractional_positions": [[0.5000, 0.5000, 0.5000], [0.0000, 0.5000, 0.0000], [0.0000, 0.0000, 0.5000], [0.5000, 0.0000, 0.0000], [0.0000, 0.0000, 0.0000]], "dft_energy_ev_per_cell": -40.03, "e_above_lowest_polymorph_ev_per_atom": 1.872, "dos_ef_per_ev_fu": 6.35, "m_tot_mub_per_cell": 3.1}


{"formula": "V4ReIr5", "functional": "PBE", "state": "relaxed", "lattice_angstrom": [[2.7417, 0.0000, 0.0000], [0.0000, 2.7417, 0.0000], [0.0000, 0.0000, 18.7407]], "species": ["V", "V", "V", "V", "Re", "Ir", "Ir", "Ir", "Ir", "Ir"], "fractional_positions": [[0.0000, 0.0000, 0.2046], [0.0000, 0.0000, 0.4013], [0.0000, 0.0000, 0.5987], [0.0000, 0.0000, 0.7954], [0.0000, 0.0000, 0.0000], [0.5000, 0.5000, 0.1032], [0.5000, 0.5000, 0.3033], [0.5000, 0.5000, 0.5000], [0.5000, 0.5000, 0.6967], [0.5000, 0.5000, 0.8968]], "dft_energy_ev_per_cell": -97.52, "dos_ef_per_ev_fu": 14.76, "m_tot_mub_per_cell": 0.0}


{"formula": "VRe2Ir2", "functional": "PBE", "state": "relaxed", "lattice_angstrom": [[7.5638, 0.0000, 0.0000], [0.0000, 7.5638, 0.0000], [0.0000, 0.0000, 2.7199]], "species": ["Re", "Re", "Re", "Re", "Ir", "Ir", "Ir", "Ir", "V", "V"], "fractional_positions": [[0.1735, 0.6735, 0.5000], [0.6735, 0.8265, 0.5000], [0.8265, 0.3265, 0.5000], [0.3265, 0.1735, 0.5000], [0.3759, 0.8759, 0.0000], [0.8759, 0.6241, 0.0000], [0.6241, 0.1241, 0.0000], [0.1241, 0.3759, 0.0000], [0.0000, 0.0000, 0.0000], [0.5000, 0.5000, 0.0000]], "dft_energy_ev_per_cell": -102.72, "dos_ef_per_ev_fu": 5.26, "m_tot_mub_per_cell": 0.7}